Record 1
12
Lattice="6.604 0.000 0.000 -3.184 5.929 0.000 -1.682 -1.077 6.819" Properties=species:S:1:pos:R:3 comment="Re2TeSeS2 | OQMD | GGA-PBE | optimized geometry" m_tot_mub_per_cell=0.0 volume_a3_per_atom=22.246 energy_ev_per_cell=-84.14 de_polymorph_ev_per_atom=0.011 pbc="T T T"
Re -0.610 1.255 0.021
Re 2.295 1.038 0.074
Re -0.556 3.814 6.744
Re 2.348 3.597 6.797
Te -0.687 1.522 5.153
Te 2.426 3.330 1.665
Se -2.449 4.234 5.075
Se 4.187 0.618 1.744
S 0.770 0.322 1.705
S -0.657 3.552 1.052
S 2.395 1.300 5.767
S 0.968 4.530 5.113

***

Record 2
12
Lattice="6.919 0.000 0.000 2.319 6.857 0.000 2.331 3.015 7.169" Properties=species:S:1:pos:R:3 comment="ReTe3SeS | OQMD | GGA-PBE | optimized geometry" m_tot_mub_per_cell=0.0 volume_a3_per_atom=28.342 energy_ev_per_cell=-59.12 de_polymorph_ev_per_atom=0.029 pbc="T T T"
Re 1.635 2.841 3.528
Re 9.933 7.031 3.641
Te 2.914 4.806 7.037
Te 8.654 5.066 0.132
Te 3.881 4.436 4.236
Te 4.144 6.367 1.206
Te 7.424 3.505 5.963
Te 7.687 5.436 2.933
Se 5.164 7.792 4.545
Se 6.405 2.079 2.624
S 2.670 2.774 1.477
S 8.898 7.098 5.692

***

Record 3
12
Lattice="6.821 0.000 0.000 -2.123 6.813 0.000 -0.154 -3.774 6.878" Properties=species:S:1:pos:R:3 comment="ReTe2SeS2 | OQMD | GGA-PBE | optimized geometry" m_tot_mub_per_cell=0.0 volume_a3_per_atom=26.635 energy_ev_per_cell=-61.90 de_polymorph_ev_per_atom=0.014 pbc="T T T"
Re -0.410 1.316 0.022
Re 4.953 1.724 6.856
Te -1.593 3.214 3.345
Te 0.377 0.140 6.219
Te 4.166 2.900 0.659
Te 6.136 -0.174 3.533
Se 1.521 -1.226 2.287
Se 3.023 4.266 4.590
S 0.440 1.842 2.150
S 1.442 -3.279 6.058
S 3.101 6.318 0.820
S 4.103 1.198 4.727